(1)
VASP calculation (SCAN) on a PBEsol-optimized structure of KCo2Ru.

Space group: R3m (160)
Fermi-level density of states (states/eV per atom): 0.924
Uncorrected energy (eV per atom): -18.613
Crystal system: trigonal
Relative energy among the computed polymorphs (eV per formula unit): 0.21
Formation energy from the elements (eV/f.u.): 3.3

Unit cell a=2.656 b=2.656 c=9.629 alpha=82.07 beta=82.07 gamma=60.00
Site moments in Bohr magnetons follow the coordinates.
Positions (direct):
Co 0.734 0.734 0.799  1.78
Co 0.002 0.002 0.993  1.91
Ru 0.266 0.266 0.203  0.07
K 0.498 0.498 0.505  -0.05

---

(2)
VASP calculation (SCAN) on a PBEsol-optimized structure of CrTeAs2Br.

Space group: P4/mmm (123)
Formation energy without anion corrections (eV/atom): 0.892
Fermi-level density of states (states/eV per atom): 0.521
Uncorrected energy (eV per atom): -22.203
Crystal system: tetragonal

Unit cell a=5.296 b=5.296 c=5.402 alpha=90.00 beta=90.00 gamma=90.00
Site moments in Bohr magnetons follow the coordinates.
Positions (direct):
Cr 0.500 0.500 0.500  4.33
Te 0.000 0.000 0.000  0.02
Br 0.000 0.000 0.500  -0.03
As 0.000 0.500 0.000  -0.38
As 0.500 0.000 0.000  -0.38

---

(3)
VASP calculation (SCAN) on a PBEsol-optimized structure of LaAgP3.

Space group: Pm-3m (221)
Fermi-level density of states (states/eV per atom): 0.552
Uncorrected energy (eV per atom): -21.109
Crystal system: cubic
Formation energy from the elements (eV/f.u.): 0.1

Unit cell a=4.750 b=4.750 c=4.750 alpha=90.00 beta=90.00 gamma=90.00
Positions (direct):
Ag 0.000 0.000 0.000
P 0.000 0.000 0.500
P 0.000 0.500 0.000
P 0.500 0.000 0.000
La 0.500 0.500 0.500

---

(4)
VASP calculation (SCAN) on a PBEsol-optimized structure of HfIn2NiW.

Space group: P4/mmm (123)
Fermi-level density of states (states/eV per atom): 1.158
Uncorrected energy (eV per atom): -41.213
Crystal system: tetragonal
Formation energy from the elements (eV/f.u.): 9.2

Unit cell a=4.767 b=5.310 c=5.310 alpha=90.00 beta=90.00 gamma=90.00
Site moments in Bohr magnetons follow the coordinates.
Positions (direct):
W 0.500 0.000 0.000  0.14
Ni 0.500 0.500 0.500  1.13
In 0.000 0.000 0.500  -0.02
In 0.000 0.500 0.000  -0.02
Hf 0.000 0.000 0.000  -0.10

---

(5)
VASP calculation (SCAN) on a PBEsol-optimized structure of Ge19P4I4.

Space group: P-43n (218)
Formation energy without anion corrections (eV/atom): -0.084
Uncorrected energy (eV per atom): -20.500
Crystal system: cubic

Unit cell a=10.505 b=10.505 c=10.505 alpha=90.00 beta=90.00 gamma=90.00
Positions (direct):
I 0.500 0.500 0.500
I 0.500 0.250 0.000
I 0.250 0.000 0.500
I 0.000 0.000 0.000
I 0.000 0.500 0.750
I 0.500 0.750 0.000
I 0.750 0.000 0.500
I 0.000 0.500 0.250
Ge 0.000 0.250 0.500
Ge 0.807 0.619 0.499
Ge 0.186 0.186 0.186
Ge 0.750 0.500 0.000
Ge 0.186 0.814 0.814
Ge 0.307 0.001 0.881
Ge 0.999 0.881 0.693
Ge 0.314 0.314 0.686
Ge 0.000 0.750 0.500
Ge 0.619 0.501 0.193
Ge 0.119 0.307 0.999
Ge 0.250 0.500 0.000
Ge 0.501 0.807 0.381
Ge 0.686 0.314 0.314
Ge 0.693 0.001 0.119
Ge 0.814 0.814 0.186
Ge 0.501 0.193 0.619
Ge 0.193 0.619 0.501
Ge 0.814 0.186 0.814
Ge 0.999 0.119 0.307
Ge 0.881 0.307 0.001
Ge 0.381 0.499 0.193
Ge 0.499 0.193 0.381
Ge 0.500 0.000 0.250
Ge 0.193 0.381 0.499
Ge 0.314 0.686 0.314
Ge 0.807 0.381 0.501
Ge 0.619 0.499 0.807
Ge 0.307 0.999 0.119
Ge 0.686 0.686 0.686
Ge 0.500 0.000 0.750
Ge 0.119 0.693 0.001
Ge 0.001 0.119 0.693
Ge 0.001 0.881 0.307
Ge 0.881 0.693 0.999
Ge 0.381 0.501 0.807
Ge 0.499 0.807 0.619
Ge 0.693 0.999 0.881
P 0.184 0.184 0.816
P 0.684 0.684 0.316
P 0.184 0.816 0.184
P 0.684 0.316 0.684
P 0.316 0.684 0.684
P 0.316 0.316 0.316
P 0.816 0.184 0.184
P 0.816 0.816 0.816

---

(6)
VASP calculation (SCAN) on a PBEsol-optimized structure of Ti2Si.

Space group: F-43m (216)
Formation energy without anion corrections (eV/atom): 0.136
Fermi-level density of states (states/eV per atom): 0.368
Uncorrected energy (eV per atom): -13.889
Crystal system: cubic

Unit cell a=4.284 b=4.284 c=4.284 alpha=60.00 beta=60.00 gamma=60.00
Site moments in Bohr magnetons follow the coordinates.
Positions (direct):
Ti 0.000 0.000 0.000  1.61
Ti 0.750 0.750 0.750  1.85
Si 0.250 0.250 0.250  -0.12

---

(7)
VASP calculation (SCAN) on a PBEsol-optimized structure of ErTmMg2.

Space group: Fm-3m (225)
Fermi-level density of states (states/eV per atom): 1.288
Uncorrected energy (eV per atom): -28.081
Crystal system: cubic
Formation energy from the elements (eV/f.u.): -0.2

Unit cell a=5.245 b=5.245 c=5.245 alpha=60.00 beta=60.00 gamma=60.00
Positions (direct):
Mg 0.250 0.250 0.250
Mg 0.750 0.750 0.750
Er 0.500 0.500 0.500
Tm 0.000 0.000 0.000

---

(8)
VASP calculation (SCAN) on a PBEsol-optimized structure of TbMgCd2.

Space group: Fm-3m (225)
Fermi-level density of states (states/eV per atom): 0.278
Uncorrected energy (eV per atom): -28.568
Crystal system: cubic
Formation energy from the elements (eV/f.u.): -1.7

Unit cell a=5.020 b=5.020 c=5.020 alpha=60.00 beta=60.00 gamma=60.00
Positions (direct):
Cd 0.750 0.750 0.750
Cd 0.250 0.250 0.250
Tb 0.500 0.500 0.500
Mg 0.000 0.000 0.000